The following is a DFT calculation (SCAN) of a crystal of Al2Cr relaxed with PBEsol.

## Properties
The calculation puts the density of states at the Fermi level at 1.10 states/eV/f.u. As for the total energy: -137.77 eV for the cell shown.

The structure in extended XYZ format:
```
12
Lattice="5.177 0.000 0.000 0.000 3.917 0.000 0.000 0.000 8.178" Properties=species:S:1:pos:R:3 pbc="T T T"
Al 0.617 0.979 1.770
Al 0.757 0.979 4.568
Al 1.832 2.937 0.479
Al 1.972 2.937 5.858
Al 3.205 0.979 2.319
Al 3.345 0.979 7.699
Al 4.420 2.937 3.610
Al 4.560 2.937 6.408
Cr 0.748 0.979 7.199
Cr 1.841 2.937 3.110
Cr 3.336 0.979 5.068
Cr 4.430 2.937 0.979
```

---

The following is a DFT calculation (SCAN) of a crystal of TiB2Br relaxed with PBEsol.

## Properties
The calculation puts the density of states at the Fermi level at 2.91 states/eV/f.u. The formation energy from raw total energies comes out at 40.64 kcal/mol of atoms.

The structure in extended XYZ format:
```
4
Lattice="0.000 2.938 2.938 2.938 0.000 2.938 2.938 2.938 0.000" Properties=species:S:1:pos:R:3 pbc="T T T"
Ti 0.000 0.000 0.000
B 1.469 1.469 1.469
B 4.407 4.407 4.407
Br 2.938 2.938 2.938
```